1.
Computed, not measured: a relaxed Ho2TmP3 crystal at the GGA-PBE level of DFT.

Properties
* V: 22.19 A^3/atom
* crystal system: monoclinic
* energy: -6.587 eV/atom
* formation energy from the elements: -1.61 eV per atom

```
data_Ho2TmP3
_symmetry_space_group_name_H-M 'C 1 2/m 1'
_symmetry_Int_Tables_number 12
_cell_length_a 6.8839
_cell_length_b 11.9224
_cell_length_c 6.8829
_cell_angle_alpha 90.00
_cell_angle_beta 109.44
_cell_angle_gamma 90.00
loop_
_symmetry_equiv_pos_as_xyz
'x,y,z'
'-x,-y,-z'
'-x,y,-z'
'x,-y,z'
'x+1/2,y+1/2,z'
'-x+1/2,-y+1/2,-z'
'-x+1/2,y+1/2,-z'
'x+1/2,-y+1/2,z'
loop_
_atom_site_label
_atom_site_type_symbol
_atom_site_fract_x
_atom_site_fract_y
_atom_site_fract_z
_atom_site_occupancy
Ho1 Ho 0.0000 0.0000 0.0000 1
Ho2 Ho 0.0000 0.1664 0.5000 1
Ho3 Ho 0.0000 0.5000 0.5000 1
Tm1 Tm 0.0000 0.3332 0.0000 1
P1 P 0.2481 0.5000 0.2482 1
P2 P 0.2501 0.1673 0.2484 1
```

2.
Computed, not measured: a relaxed Ce2ScHg3 crystal at the GGA-PBE level of DFT.

Properties
* V: 25.32 A^3/atom
* crystal system: tetragonal
* energy: -3.522 eV/atom
* formation energy from the elements: -0.34 eV per atom

```
data_Ce2ScHg3
_symmetry_space_group_name_H-M 'P 4/m m m'
_symmetry_Int_Tables_number 123
_symmetry_space_group_name_Hall '-P 4 2'
_cell_length_a 3.5081
_cell_length_b 3.5081
_cell_length_c 12.3447
_cell_angle_alpha 90.00
_cell_angle_beta 90.00
_cell_angle_gamma 90.00
loop_
_atom_site_label
_atom_site_type_symbol
_atom_site_fract_x
_atom_site_fract_y
_atom_site_fract_z
_atom_site_occupancy
Ce1 Ce 0.0000 0.0000 0.1795 1
Sc1 Sc 0.0000 0.0000 0.5000 1
Hg1 Hg 0.5000 0.5000 0.0000 1
Hg2 Hg 0.5000 0.5000 0.3607 1
```

3.
Computed, not measured: a relaxed CePmTlGa crystal at the GGA-PBE level of DFT.

Properties
* V: 27.17 A^3/atom
* crystal system: cubic
* energy: -4.382 eV/atom
* formation energy from the elements: -0.36 eV per atom

```
data_CePmTlGa
_symmetry_space_group_name_H-M 'F -4 3 m'
_symmetry_Int_Tables_number 216
_symmetry_space_group_name_Hall 'F -4 2 3'
_cell_length_a 7.5754
_cell_length_b 7.5754
_cell_length_c 7.5754
_cell_angle_alpha 90.00
_cell_angle_beta 90.00
_cell_angle_gamma 90.00
loop_
_atom_site_label
_atom_site_type_symbol
_atom_site_fract_x
_atom_site_fract_y
_atom_site_fract_z
_atom_site_occupancy
Ce1 Ce 0.0000 0.0000 0.0000 1
Pm1 Pm 0.0000 0.0000 0.5000 1
Tl1 Tl 0.2500 0.2500 0.7500 1
Ga1 Ga 0.2500 0.2500 0.2500 1
```

4.
Computed, not measured: a relaxed Sc3CoAg2 crystal at the GGA-PBE level of DFT.

Properties
* V: 18.56 A^3/atom
* crystal system: orthorhombic
* energy: -5.587 eV/atom
* formation energy from the elements: -0.29 eV per atom

```
data_Sc3CoAg2
_symmetry_space_group_name_H-M 'C m m m'
_symmetry_Int_Tables_number 65
_symmetry_space_group_name_Hall '-C 2 2'
_cell_length_a 4.6401
_cell_length_b 13.8077
_cell_length_c 6.9534
_cell_angle_alpha 90.00
_cell_angle_beta 90.00
_cell_angle_gamma 90.00
loop_
_atom_site_label
_atom_site_type_symbol
_atom_site_fract_x
_atom_site_fract_y
_atom_site_fract_z
_atom_site_occupancy
Sc1 Sc 0.0000 0.0000 0.2320 1
Sc2 Sc 0.0000 0.3260 0.2232 1
Co1 Co 0.0000 0.1667 0.0000 1
Ag1 Ag 0.0000 0.1650 0.5000 1
Ag2 Ag 0.0000 0.5000 0.0000 1
Ag3 Ag 0.0000 0.5000 0.5000 1
```

5.
Computed, not measured: a relaxed RbBaDyBr6 crystal at the GGA-PBE level of DFT.

Properties
* V: 43.99 A^3/atom
* crystal system: trigonal
* energy: -3.916 eV/atom
* formation energy from raw total energies: -1.9681 eV per atom

```
data_RbBaDyBr6
_symmetry_space_group_name_H-M 'P -3 1 c'
_symmetry_Int_Tables_number 163
_symmetry_space_group_name_Hall '-P 3 2c'
_cell_length_a 8.0324
_cell_length_b 8.0324
_cell_length_c 14.1720
_cell_angle_alpha 90.00
_cell_angle_beta 90.00
_cell_angle_gamma 120.00
loop_
_atom_site_label
_atom_site_type_symbol
_atom_site_fract_x
_atom_site_fract_y
_atom_site_fract_z
_atom_site_occupancy
Rb1 Rb 0.0000 0.0000 0.0000 1
Ba1 Ba 0.3333 0.6667 0.2500 1
Dy1 Dy 0.3333 0.6667 0.7500 1
Br1 Br 0.0403 0.3875 0.6348 1
```

6.
Computed, not measured: a relaxed Np2AlGe3Ir4 crystal at the GGA-PBE level of DFT.

Properties
* V: 18.07 A^3/atom
* crystal system: tetragonal
* energy: -8.373 eV/atom
* formation energy from the elements: -0.48 eV per atom

```
data_Np2AlGe3Ir4
_symmetry_space_group_name_H-M 'P -4 m 2'
_symmetry_Int_Tables_number 115
_cell_length_a 4.1358
_cell_length_b 4.1358
_cell_length_c 10.5666
_cell_angle_alpha 90.00
_cell_angle_beta 90.00
_cell_angle_gamma 90.00
loop_
_symmetry_equiv_pos_as_xyz
'x,y,z'
'y,-x,-z'
'-x,-y,z'
'-y,x,-z'
'-x,y,z'
'-y,-x,-z'
'x,-y,z'
'y,x,-z'
loop_
_atom_site_label
_atom_site_type_symbol
_atom_site_fract_x
_atom_site_fract_y
_atom_site_fract_z
_atom_site_occupancy
Np1 Np 0.0000 0.5000 0.2480 1
Al1 Al 0.5000 0.5000 0.0000 1
Ge1 Ge 0.0000 0.0000 0.0000 1
Ge2 Ge 0.0000 0.5000 0.6308 1
Ir1 Ir 0.0000 0.0000 0.5000 1
Ir2 Ir 0.0000 0.5000 0.8614 1
Ir3 Ir 0.5000 0.5000 0.5000 1
```